Compound: KCd2Te
Source: the Alexandria database
Functional: PBE
Structure: relaxed

The structure belongs to space group P4/mmm (No. 123); the cell edges are 4.6869, 4.6869 and 5.4431 Å and the angles 90.00°, 90.00° and 90.00°. The distinct sites, in fractional coordinates, are K at (0.0000, 0.0000, 0.0000), Cd at (0.0000, 0.5000, 0.5000) and Te at (0.5000, 0.5000, 0.0000).

The calculation puts the calculated total energy at -1.75 eV/atom. The value obtained for the volume is 120 Å³/f.u. As for the crystal system: tetragonal. For the uncorrected formation energy, the calculation gives -0.9 eV/f.u.

Compound: Ba3BiAu4
Source: the Alexandria database
Functional: PBE
Structure: relaxed

The structure belongs to space group Immm (No. 71); the cell edges are 4.8344, 7.4505 and 15.7026 Å and the angles 90.00°, 90.00° and 90.00°. The distinct sites, in fractional coordinates, are Ba at (0.0000, 0.0000, 0.0000), Ba at (0.0000, 0.5000, 0.1769), Bi at (0.0000, 0.0000, 0.5000) and Au at (0.0000, 0.3117, 0.3756).

The calculation puts the calculated total energy at -3.47 eV/atom. The value obtained for the volume is 283 Å³/f.u. As for the crystal system: orthorhombic.

Compound: NdGa4Pd2Ru
Source: the Alexandria database
Functional: PBE
Structure: relaxed

The structure belongs to space group R-3m (No. 166, hexagonal axes); the cell edges are 4.2763, 4.2763 and 26.7485 Å and the angles 90.00°, 90.00° and 120.00°. The distinct sites, in fractional coordinates, are Nd at (0.0000, 0.0000, 0.0000), Ga at (0.0000, 0.0000, 0.1339), Ga at (0.0000, 0.0000, 0.4016), Pd at (0.0000, 0.0000, 0.2354) and Ru at (0.0000, 0.0000, 0.5000).

The calculation puts the calculated total energy at -5.16 eV/atom. The value obtained for the volume is 141 Å³/f.u. As for the crystal system: trigonal.

Please write out number 2 again, unchanged.
Compound: Ba3BiAu4
Source: the Alexandria database
Functional: PBE
Structure: relaxed

The structure belongs to space group Immm (No. 71); the cell edges are 4.8344, 7.4505 and 15.7026 Å and the angles 90.00°, 90.00° and 90.00°. The distinct sites, in fractional coordinates, are Ba at (0.0000, 0.0000, 0.0000), Ba at (0.0000, 0.5000, 0.1769), Bi at (0.0000, 0.0000, 0.5000) and Au at (0.0000, 0.3117, 0.3756).

The calculation puts the calculated total energy at -3.47 eV/atom. The value obtained for the volume is 283 Å³/f.u. As for the crystal system: orthorhombic.

Q: Look up the calculated total energy of the third one.
A: -5.16 eV/atom